(1)
The following is a DFT calculation (PBEsol) of a geometry-optimized AsPbBr4 structure.

Properties
Calculated density in Mg/m³: 6.3
Calculated total energy in eV per atom: -2.201
Crystal system: cubic

a = 8.5741 Å, b = 8.5741 Å, c = 8.5741 Å
α = 90.00°, β = 90.00°, γ = 90.00°
Closest atoms and distances in Å follow each position.
Space group F-43m (No. 216)
Symmetry-distinct sites (fractional):
As1 0.0000 0.0000 0.0000 x4  12 Br 3.55, 4 Pb 3.71
Pb1 0.2500 0.2500 0.7500 x4  12 Br 3.56, 4 As 3.71
Br1 0.1257 0.1257 0.3743 x16  6 Br 3.01-3.05

---

(2)
The following is a DFT calculation (PBEsol) of a geometry-optimized CaPSe2N structure.

Properties
Calculated density in Mg/m³: 4.6
Calculated total energy in eV per atom: -5.173
Crystal system: tetragonal

a = 5.0587 Å, b = 5.0587 Å, c = 3.4091 Å
α = 90.00°, β = 90.00°, γ = 90.00°
Closest atoms and distances in Å follow each position.
Space group P4/mmm (No. 123)
Symmetry-distinct sites (fractional):
Ca1 0.0000 0.0000 0.0000 x1  8 Se 3.05, 2 Ca 3.41
P1 0.5000 0.5000 0.5000 x1  2 N 1.70
Se1 0.0000 0.5000 0.5000 x2  2 P 2.53
N1 0.5000 0.5000 0.0000 x1  2 P 1.70

---

Among the records above, which one has the lowest calculated total energy?
CaPSe2N

---

What is the formula in the second record?
CaPSe2N